Entry 1:
Here is YCr2CdH after structural relaxation from Alexandria. Energies are from PBE.

abc: 5.0734 5.0734 5.7261
angles: 90.00 90.00 90.00
Last column: nearest neighbours and their distance in Å.
Space group P4/mmm (No. 123)
Inequivalent atoms, fractional coordinates:
Y 0.0000 0.0000 0.0000 [1 per cell]  2 Cd 2.86
Cr 0.0000 0.5000 0.5000 [2 per cell]  2 Cd 2.54
Cd 0.0000 0.0000 0.5000 [1 per cell]  4 Cr 2.54
H 0.5000 0.5000 0.0000 [1 per cell]  4 Y 3.59, 8 Cr 3.83

Properties
- Volume: 147.39 Å³/cell
- M_tot: 8.58 μB/cell
- Total DFT energy (no corrections): -22.60 eV per cell

***

Entry 2:
Here is Y2CrCdH after structural relaxation from Alexandria. Energies are from PBE.

abc: 5.1197 5.1197 3.8034
angles: 90.00 90.00 90.00
Last column: nearest neighbours and their distance in Å.
Space group P4/mmm (No. 123)
Inequivalent atoms, fractional coordinates:
Y 0.0000 0.5000 0.0000 [2 per cell]  2 H 2.56
Cr 0.0000 0.0000 0.5000 [1 per cell]  2 H 1.90
Cd 0.5000 0.5000 0.5000 [1 per cell]  8 Y 3.19
H 0.0000 0.0000 0.0000 [1 per cell]  2 Cr 1.90

Properties
- Volume: 99.69 Å³/cell
- M_tot: 3.63 μB/cell
- Total DFT energy (no corrections): -27.34 eV per cell

***

Entry 3:
Here is HfCrCd2 after structural relaxation from Alexandria. Energies are from PBE.

abc: 6.8034 6.8034 6.8034
angles: 90.00 90.00 90.00
Last column: nearest neighbours and their distance in Å.
Space group Fm-3m (No. 225)
Inequivalent atoms, fractional coordinates:
Hf 0.0000 0.0000 0.0000 [4 per cell]  8 Cd 2.95
Cr 0.0000 0.0000 0.5000 [4 per cell]  8 Cd 2.95
Cd 0.2500 0.2500 0.2500 [8 per cell]  4 Cr 2.95, 4 Hf 2.95

Properties
- Volume: 314.90 Å³/cell
- M_tot: 14.71 μB/cell
- Polymorph energy (0 for the lowest one): 0 meV/atom
- Energy relative to the elements: 0.290 eV per atom

***

Entry 4:
Here is Hf2CrCd2 after structural relaxation from Alexandria. Energies are from PBE.

abc: 7.1749 7.1749 4.1040
angles: 90.00 90.00 90.00
Last column: nearest neighbours and their distance in Å.
Space group P4/mbm (No. 127)
Inequivalent atoms, fractional coordinates:
Hf 0.1694 0.3306 0.0000 [4 per cell]  6 Cd 2.85-3.01
Cr 0.0000 0.0000 0.5000 [2 per cell]  4 Cd 2.79
Cd 0.1359 0.6359 0.5000 [4 per cell]  1 Cd 2.76, 2 Cr 2.79, 6 Hf 2.85-3.01

Properties
- Volume: 211.27 Å³/cell
- M_tot: 7.49 μB/cell
- Energy relative to the elements: 0.410 eV per atom

***

Entry 5:
Here is HfCrCd2 after structural relaxation from Alexandria. Energies are from PBE.

abc: 4.0103 4.0103 21.1606
angles: 90.00 90.00 90.00
Last column: nearest neighbours and their distance in Å.
Space group I-42d (No. 122)
Inequivalent atoms, fractional coordinates:
Hf 0.0000 0.0000 0.0000 [4 per cell]  4 Cr 2.84, 4 Cd 3.01
Cr 0.0000 0.0000 0.5000 [4 per cell]  4 Hf 2.84, 4 Cd 2.99
Cd 0.2429 0.2500 0.6250 [8 per cell]  4 Cd 2.80-2.88, 2 Cr 2.99, 2 Hf 3.01

Properties
- Volume: 340.31 Å³/cell
- M_tot: 11.76 μB/cell
- Polymorph energy (0 for the lowest one): 304 meV/atom
- Energy relative to the elements: 0.594 eV per atom

***

Entry 6:
Here is HfCr2Cd after structural relaxation from Alexandria. Energies are from PBE.

abc: 7.2744 7.2744 5.8498
angles: 90.00 90.00 90.00
Last column: nearest neighbours and their distance in Å.
Space group I-42d (No. 122)
Inequivalent atoms, fractional coordinates:
Hf 0.0000 0.0000 0.0000 [4 per cell]  4 Cr 2.68, 2 Cd 2.92
Cr 0.2487 0.2500 0.6250 [8 per cell]  2 Cd 2.67, 2 Hf 2.68, 2 Cr 2.92
Cd 0.0000 0.0000 0.5000 [4 per cell]  4 Cr 2.67, 2 Hf 2.92

Properties
- Volume: 309.55 Å³/cell
- M_tot: 24.48 μB/cell
- Energy relative to the elements: 0.880 eV per atom

***

Entry 7:
Here is HfCr2Cd2 after structural relaxation from Alexandria. Energies are from PBE.

abc: 7.8893 7.8893 3.1020
angles: 90.00 90.00 90.00
Last column: nearest neighbours and their distance in Å.
Space group P4/mbm (No. 127)
Inequivalent atoms, fractional coordinates:
Hf 0.0000 0.0000 0.0000 [2 per cell]  2 Hf 3.10, 4 Cd 3.11, 8 Cr 3.30
Cr 0.1744 0.3256 0.5000 [4 per cell]  6 Cd 2.71-2.86
Cd 0.1266 0.6266 0.0000 [4 per cell]  6 Cr 2.71-2.86, 1 Cd 2.83

Properties
- Volume: 193.07 Å³/cell
- M_tot: 13.10 μB/cell
- Polymorph energy (0 for the lowest one): 5 meV/atom
- Energy relative to the elements: 0.502 eV per atom

***

Entry 8:
Here is Hf2CrCd after structural relaxation from Alexandria. Energies are from PBE.

abc: 3.2512 3.2512 7.2514
angles: 90.00 90.00 90.00
Last column: nearest neighbours and their distance in Å.
Space group P4/mmm (No. 123)
Inequivalent atoms, fractional coordinates:
Hf 0.0000 0.0000 0.2088 [2 per cell]  4 Cr 2.75, 1 Hf 3.03
Cr 0.5000 0.5000 0.0000 [1 per cell]  8 Hf 2.75
Cd 0.5000 0.5000 0.5000 [1 per cell]  8 Hf 3.12, 4 Cd 3.25

Properties
- Volume: 76.65 Å³/cell
- M_tot: 0.00 μB/cell
- Energy relative to the elements: 0.016 eV per atom

***

Entry 9:
Here is Hf4CrCd2 after structural relaxation from Alexandria. Energies are from PBE.

abc: 4.6274 4.6274 15.0963
angles: 90.00 90.00 90.00
Last column: nearest neighbours and their distance in Å.
Space group I4/mmm (No. 139)
Inequivalent atoms, fractional coordinates:
Hf 0.0000 0.0000 0.1735 [4 per cell]  1 Cr 2.62, 1 Cd 2.86
Hf 0.0000 0.5000 0.0000 [4 per cell]  2 Cr 2.31
Cr 0.0000 0.0000 0.0000 [2 per cell]  4 Hf 2.31
Cd 0.0000 0.0000 0.3630 [4 per cell]  5 Hf 2.86-3.10

Properties
- Volume: 323.25 Å³/cell
- M_tot: 0.00 μB/cell
- Energy relative to the elements: 0.561 eV per atom

***

Entry 10:
Here is Hf2CrCd after structural relaxation from Alexandria. Energies are from PBE.

abc: 4.0781 4.0781 19.7778
angles: 90.00 90.00 90.00
Last column: nearest neighbours and their distance in Å.
Space group I-42d (No. 122)
Inequivalent atoms, fractional coordinates:
Hf 0.2379 0.2500 0.1250 [8 per cell]  4 Hf 2.81-2.95, 2 Cr 2.84, 2 Cd 2.88
Cr 0.0000 0.0000 0.0000 [4 per cell]  4 Hf 2.84, 4 Cd 2.88
Cd 0.0000 0.0000 0.5000 [4 per cell]  4 Hf 2.88, 4 Cr 2.88

Properties
- Volume: 328.92 Å³/cell
- M_tot: 0.00 μB/cell
- Energy relative to the elements: 0.863 eV per atom

***

Entry 11:
Here is HfCr2Cd2 after structural relaxation from Alexandria. Energies are from PBE.

abc: 3.1762 3.1762 18.2478
angles: 90.00 90.00 90.00
Last column: nearest neighbours and their distance in Å.
Space group I4/mmm (No. 139)
Inequivalent atoms, fractional coordinates:
Hf 0.0000 0.0000 0.0000 [2 per cell]  8 Cd 3.12, 4 Hf 3.18
Cr 0.0000 0.5000 0.2500 [4 per cell]  4 Cr 2.25
Cd 0.0000 0.0000 0.3817 [4 per cell]  4 Cr 2.88, 4 Hf 3.12, 4 Cd 3.18

Properties
- Volume: 184.09 Å³/cell
- M_tot: 0.00 μB/cell
- Polymorph energy (0 for the lowest one): 0 meV/atom
- Energy relative to the elements: 0.498 eV per atom

***

Entry 12:
Here is Hf2CrCd after structural relaxation from Alexandria. Energies are from PBE.

abc: 3.1884 3.1884 27.0247
angles: 90.00 90.00 120.00
Last column: nearest neighbours and their distance in Å.
Space group R-3m (No. 166, hexagonal axes)
Inequivalent atoms, fractional coordinates:
Hf 0.0000 0.0000 0.2378 [6 per cell]  3 Cr 2.66
Cr 0.0000 0.0000 0.5000 [3 per cell]  6 Hf 2.66
Cd 0.0000 0.0000 0.0000 [3 per cell]  6 Hf 3.17, 6 Cd 3.19

Properties
- Volume: 237.92 Å³/cell
- M_tot: 0.00 μB/cell
- Energy relative to the elements: 0.209 eV per atom

***

Entry 13:
Here is LiHf2CrCd after structural relaxation from Alexandria. Energies are from PBE.

abc: 5.2193 5.2193 4.1446
angles: 90.00 90.00 90.00
Last column: nearest neighbours and their distance in Å.
Space group P4/mmm (No. 123)
Inequivalent atoms, fractional coordinates:
Li 0.0000 0.0000 0.0000 [1 per cell]  2 Cd 2.07
Hf 0.0000 0.5000 0.5000 [2 per cell]  2 Cd 2.61
Cr 0.5000 0.5000 0.0000 [1 per cell]  8 Hf 3.33, 4 Li 3.69
Cd 0.0000 0.0000 0.5000 [1 per cell]  2 Li 2.07

Properties
- Volume: 112.90 Å³/cell
- M_tot: 0.00 μB/cell
- Energy relative to the elements: 1.515 eV per atom

***

Entry 14:
Here is HfCrCdP2 after structural relaxation from Alexandria. Energies are from PBE.

abc: 4.3425 4.3425 5.0426
angles: 90.00 90.00 90.00
Last column: nearest neighbours and their distance in Å.
Space group P4/mmm (No. 123)
Inequivalent atoms, fractional coordinates:
Hf 0.0000 0.0000 0.0000 [1 per cell]  4 Cd 3.07, 8 P 3.33
Cr 0.5000 0.5000 0.5000 [1 per cell]  4 P 2.17
Cd 0.5000 0.5000 0.0000 [1 per cell]  2 Cr 2.52
P 0.0000 0.5000 0.5000 [2 per cell]  2 Cr 2.17

Properties
- Volume: 95.09 Å³/cell
- M_tot: 0.00 μB/cell
- Energy relative to the elements: 0.467 eV per atom